1 | Compound: Be2BiI
Source: the Alexandria database
Functional: PBE-GGA
Structure: relaxed

Properties
Fermi-level density of states = 0.00 states/eV/f.u.
Volume = 25.41 Å³ per atom

Cell lengths 5.8628, 5.8628, 7.2218 Å; angles 66.05, 66.05, 90.00 degrees
Fractional positions:
Be 0.6469 0.1250 0.2500
Be 0.8750 0.8969 0.7500
Be 0.3750 0.3531 0.7500
Be 0.1031 0.6250 0.2500
Bi 0.7500 0.2500 0.5000
Bi 0.0000 0.0000 0.0000
I 0.2500 0.7500 0.5000
I 0.5000 0.5000 0.0000

---

2 | Compound: Be2BiI
Source: the Alexandria database
Functional: PBE-GGA
Structure: relaxed

Properties
Fermi-level density of states = 2.02 states/eV/f.u.
Volume = 21.11 Å³ per atom

Cell lengths 4.9242, 4.9242, 4.9242 Å; angles 60.00, 60.00, 60.00 degrees
Fractional positions:
Bi 0.5000 0.5000 0.5000
Be 0.7500 0.7500 0.7500
Be 0.2500 0.2500 0.2500
I 0.0000 0.0000 0.0000

---

If we sort the structures by their calculated energies, the order from most to least stable is 1, 2.